# 1
Entry from the Alexandria database: an optimized crystal structure of Ho5NiPb3 (PBE-GGA).

## Properties
The value obtained for the density of states at the Fermi level is 9.329 states/eV per cell. As for the space group: No. 193. For the total DFT energy (no corrections), the calculation gives -0.363 Ry/atom.

Lattice parameters (Å, degrees): 9.1484 9.1484 6.6630 90.00 90.00 120.00
With the nearest neighbours (Å) after each atom.
Atoms (fractional coordinates):
Ho 0.0000 0.2384 0.2500  2 Ni 2.74
Ho 0.0000 0.7616 0.7500  2 Ni 2.74
Ho 0.2384 0.0000 0.2500  2 Ni 2.74
Ho 0.2384 0.2384 0.7500  2 Ni 2.74
Ho 0.3333 0.6667 0.0000  6 Pb 3.26, 2 Ho 3.33
Ho 0.3333 0.6667 0.5000  6 Pb 3.26, 2 Ho 3.33
Ho 0.6667 0.3333 0.0000  6 Pb 3.26, 2 Ho 3.33
Ho 0.6667 0.3333 0.5000  6 Pb 3.26, 2 Ho 3.33
Ho 0.7616 0.0000 0.7500  2 Ni 2.74
Ho 0.7616 0.7616 0.2500  2 Ni 2.74
Ni 0.0000 0.0000 0.0000  6 Ho 2.74
Ni 0.0000 0.0000 0.5000  6 Ho 2.74
Pb 0.0000 0.3991 0.7500  7 Ho 3.18-3.32
Pb 0.0000 0.6009 0.2500  7 Ho 3.18-3.32
Pb 0.3991 0.0000 0.7500  7 Ho 3.18-3.32
Pb 0.3991 0.3991 0.2500  7 Ho 3.18-3.32
Pb 0.6009 0.0000 0.2500  7 Ho 3.18-3.32
Pb 0.6009 0.6009 0.7500  7 Ho 3.18-3.32

---

# 2
Entry from the Alexandria database: an optimized crystal structure of HoNiPb (PBE-GGA).

## Properties
The value obtained for the density of states at the Fermi level is 5.783 states/eV per cell. As for the space group: No. 11. For the total DFT energy (no corrections), the calculation gives -0.372 Ry/atom.

Lattice parameters (Å, degrees): 4.4996 4.4940 6.6755 90.00 90.61 90.00
With the nearest neighbours (Å) after each atom.
Atoms (fractional coordinates):
Ho 0.2448 0.2500 0.2277  4 Ni 2.87-2.92, 4 Pb 3.18-3.20
Ho 0.7552 0.7500 0.7723  4 Ni 2.87-2.92, 4 Pb 3.18-3.20
Ni 0.2575 0.7500 0.4998  4 Pb 2.74-2.77, 4 Ho 2.87-2.92
Ni 0.7425 0.2500 0.5002  4 Pb 2.74-2.77, 4 Ho 2.87-2.92
Pb 0.2511 0.2500 0.7381  4 Ni 2.74-2.77
Pb 0.7489 0.7500 0.2619  4 Ni 2.74-2.77

---

# 3
Entry from the Alexandria database: an optimized crystal structure of Ho4Ni2Pb5 (PBE-GGA).

## Properties
The value obtained for the density of states at the Fermi level is 5.907 states/eV per cell. As for the space group: No. 10. For the total DFT energy (no corrections), the calculation gives -0.354 Ry/atom.

Lattice parameters (Å, degrees): 8.1264 3.5903 9.6326 90.00 94.81 90.00
With the nearest neighbours (Å) after each atom.
Atoms (fractional coordinates):
Ho 0.1955 0.0000 0.3342  2 Ni 2.81
Ho 0.1945 0.0000 0.9350  4 Ni 2.81-2.84
Ho 0.8055 0.0000 0.0650  4 Ni 2.81-2.84
Ho 0.8045 0.0000 0.6658  2 Ni 2.81
Ni 0.0724 0.5000 0.1261  1 Ni 2.61, 6 Ho 2.81-2.84
Ni 0.9276 0.5000 0.8739  1 Ni 2.61, 6 Ho 2.81-2.84
Pb 0.1409 0.5000 0.6371  1 Ni 2.98, 2 Ho 3.30, 1 Pb 3.30
Pb 0.4614 0.5000 0.1619  1 Ni 3.15, 2 Pb 3.23-3.25, 6 Ho 3.35-3.51
Pb 0.5000 0.5000 0.5000  6 Pb 3.25-3.59, 4 Ho 3.35
Pb 0.5386 0.5000 0.8381  1 Ni 3.15, 2 Pb 3.23-3.25, 6 Ho 3.35-3.51
Pb 0.8591 0.5000 0.3629  1 Ni 2.98, 2 Ho 3.30, 1 Pb 3.30

---

# 4
Entry from the Alexandria database: an optimized crystal structure of HoNiPb (PBE-GGA).

## Properties
The value obtained for the density of states at the Fermi level is 11.158 states/eV per cell. As for the space group: No. 180. For the total DFT energy (no corrections), the calculation gives -0.359 Ry/atom.

Lattice parameters (Å, degrees): 6.5052 6.5052 11.4768 90.00 90.00 120.00
With the nearest neighbours (Å) after each atom.
Atoms (fractional coordinates):
Ho 0.0000 0.5000 0.3877  4 Ni 2.65-2.79
Ho 0.0000 0.5000 0.9456  4 Ni 2.65-2.79
Ho 0.5000 0.0000 0.2789  4 Ni 2.65-2.79
Ho 0.5000 0.0000 0.7211  4 Ni 2.65-2.79
Ho 0.5000 0.5000 0.0544  4 Ni 2.65-2.79
Ho 0.5000 0.5000 0.6123  4 Ni 2.65-2.79
Ni 0.2075 0.6037 0.1667  1 Ni 2.34
Ni 0.3963 0.6037 0.8333  1 Ni 2.34
Ni 0.3963 0.7925 0.5000  1 Ni 2.34
Ni 0.6037 0.2075 0.5000  1 Ni 2.34
Ni 0.6037 0.3963 0.8333  1 Ni 2.34
Ni 0.7925 0.3963 0.1667  1 Ni 2.34
Pb 0.0000 0.0000 0.1667  4 Ni 3.46, 4 Ho 3.50, 6 Pb 3.77-3.83
Pb 0.0000 0.0000 0.5000  4 Ni 3.46, 4 Ho 3.50, 6 Pb 3.77-3.83
Pb 0.0000 0.0000 0.8333  4 Ni 3.46, 4 Ho 3.50, 6 Pb 3.77-3.83
Pb 0.0000 0.5000 0.6667  4 Ni 3.00, 6 Ho 3.20-3.31
Pb 0.5000 0.0000 0.0000  4 Ni 3.00, 6 Ho 3.20-3.31
Pb 0.5000 0.5000 0.3333  4 Ni 3.00, 6 Ho 3.20-3.31

---

# 5
Entry from the Alexandria database: an optimized crystal structure of Ho6Ni2Pb (PBE-GGA).

## Properties
The value obtained for the density of states at the Fermi level is 16.358 states/eV per cell. As for the space group: No. 71. For the total DFT energy (no corrections), the calculation gives -0.375 Ry/atom.

Lattice parameters (Å, degrees): 8.4309 8.4309 8.4309 113.13 109.34 106.03
With the nearest neighbours (Å) after each atom.
Atoms (fractional coordinates):
Ho 0.0231 0.2313 0.7918  1 Ni 2.75
Ho 0.1822 0.2947 0.4769  3 Ni 2.89-3.21
Ho 0.1822 0.7053 0.8874  3 Ni 2.89-3.21
Ho 0.3252 0.0155 0.6903  3 Ni 2.70-2.88
Ho 0.3252 0.6349 0.3097  3 Ni 2.70-2.88
Ho 0.4395 0.2313 0.2082  1 Ni 2.75
Ho 0.5605 0.7687 0.7918  1 Ni 2.75
Ho 0.6748 0.3651 0.6903  3 Ni 2.70-2.88
Ho 0.6748 0.9845 0.3097  3 Ni 2.70-2.88
Ho 0.8178 0.2947 0.1126  3 Ni 2.89-3.21
Ho 0.8178 0.7053 0.5231  3 Ni 2.89-3.21
Ho 0.9769 0.7687 0.2082  1 Ni 2.75
Ni 0.1241 0.6241 0.5000  1 Ni 2.52, 2 Ho 2.70
Ni 0.3543 0.0000 0.3543  6 Ho 2.75-2.88, 1 Ni 2.84
Ni 0.6457 0.0000 0.6457  6 Ho 2.75-2.88, 1 Ni 2.84
Ni 0.8759 0.3759 0.5000  1 Ni 2.52, 2 Ho 2.70
Pb 0.0000 0.0000 0.0000  8 Ho 3.10-3.26, 2 Ni 3.45
Pb 0.5000 0.5000 0.0000  12 Ho 3.38-3.64

---

# 6
Entry from the Alexandria database: an optimized crystal structure of HoNiPb (PBE-GGA).

## Properties
The value obtained for the density of states at the Fermi level is 1.098 states/eV per cell. As for the space group: No. 187. For the total DFT energy (no corrections), the calculation gives -0.370 Ry/atom.

Lattice parameters (Å, degrees): 4.5689 4.5689 3.5992 90.00 90.00 120.00
With the nearest neighbours (Å) after each atom.
Atoms (fractional coordinates):
Ho 0.0000 0.0000 0.0000  6 Pb 3.19, 6 Ni 3.19
Ni 0.3333 0.6667 0.5000  3 Pb 2.64
Pb 0.6667 0.3333 0.5000  3 Ni 2.64

---

# 7
Entry from the Alexandria database: an optimized crystal structure of Ho4NiPb2 (PBE-GGA).

## Properties
The value obtained for the density of states at the Fermi level is 10.422 states/eV per cell. The value obtained for the relative energy among the computed polymorphs is 0.013 eV per atom. As for the space group: No. 139. For the total DFT energy (no corrections), the calculation gives -0.356 Ry/atom.

Lattice parameters (Å, degrees): 4.9381 4.9381 16.5188 90.00 90.00 90.00
With the nearest neighbours (Å) after each atom.
Atoms (fractional coordinates):
Ho 0.0000 0.0000 0.1729  1 Ni 2.86, 1 Pb 3.11
Ho 0.0000 0.0000 0.8271  1 Ni 2.86, 1 Pb 3.11
Ho 0.0000 0.5000 0.0000  2 Ni 2.47
Ho 0.0000 0.5000 0.5000  2 Ni 2.47
Ho 0.5000 0.0000 0.0000  2 Ni 2.47
Ho 0.5000 0.0000 0.5000  2 Ni 2.47
Ho 0.5000 0.5000 0.3271  1 Ni 2.86, 1 Pb 3.11
Ho 0.5000 0.5000 0.6729  1 Ni 2.86, 1 Pb 3.11
Ni 0.0000 0.0000 0.0000  4 Ho 2.47
Ni 0.5000 0.5000 0.5000  4 Ho 2.47
Pb 0.0000 0.0000 0.3611  5 Ho 3.11-3.37
Pb 0.0000 0.0000 0.6389  5 Ho 3.11-3.37
Pb 0.5000 0.5000 0.1389  5 Ho 3.11-3.37
Pb 0.5000 0.5000 0.8611  5 Ho 3.11-3.37

---

# 8
Entry from the Alexandria database: an optimized crystal structure of HoNiPb (PBE-GGA).

## Properties
The value obtained for the density of states at the Fermi level is 5.256 states/eV per cell. As for the space group: No. 107. For the total DFT energy (no corrections), the calculation gives -0.360 Ry/atom.

Lattice parameters (Å, degrees): 3.3954 3.3954 11.4042 90.00 90.00 90.00
With the nearest neighbours (Å) after each atom.
Atoms (fractional coordinates):
Ho 0.0000 0.0000 0.0000  4 Ni 2.88
Ho 0.5000 0.5000 0.5000  4 Ni 2.88
Ni 0.0000 0.0000 0.3606  4 Ho 2.88, 4 Pb 2.91
Ni 0.5000 0.5000 0.8606  4 Ho 2.88, 4 Pb 2.91
Pb 0.0000 0.0000 0.7166  4 Ni 2.91, 1 Ho 3.23
Pb 0.5000 0.5000 0.2166  4 Ni 2.91, 1 Ho 3.23

---

# 9
Entry from the Alexandria database: an optimized crystal structure of Ho4NiPb2 (PBE-GGA).

## Properties
The value obtained for the density of states at the Fermi level is 8.543 states/eV per cell. The value obtained for the relative energy among the computed polymorphs is 0.000 eV per atom. As for the space group: No. 11. For the total DFT energy (no corrections), the calculation gives -0.357 Ry/atom.

Lattice parameters (Å, degrees): 6.4843 6.7071 9.1777 90.00 105.23 90.00
With the nearest neighbours (Å) after each atom.
Atoms (fractional coordinates):
Ho 0.1863 0.2500 0.0940  1 Ni 2.62
Ho 0.2605 0.7500 0.3795  1 Ni 2.58
Ho 0.2943 0.5005 0.7510  1 Ni 2.70
Ho 0.2943 0.9995 0.7510  1 Ni 2.70
Ho 0.7057 0.0005 0.2490  1 Ni 2.70
Ho 0.7057 0.4995 0.2490  1 Ni 2.70
Ho 0.7395 0.2500 0.6205  1 Ni 2.58
Ho 0.8137 0.7500 0.9060  1 Ni 2.62
Ni 0.4589 0.2500 0.3618  1 Pb 2.56, 4 Ho 2.58-2.70
Ni 0.5411 0.7500 0.6382  1 Pb 2.56, 4 Ho 2.58-2.70
Pb 0.1119 0.2500 0.4446  1 Ni 2.56
Pb 0.3199 0.7500 0.0495  8 Ho 3.15-3.51
Pb 0.6801 0.2500 0.9505  8 Ho 3.15-3.51
Pb 0.8881 0.7500 0.5554  1 Ni 2.56

---

# 10
Entry from the Alexandria database: an optimized crystal structure of HoNiPb (PBE-GGA).

## Properties
The value obtained for the density of states at the Fermi level is 7.179 states/eV per cell. As for the space group: No. 62. For the total DFT energy (no corrections), the calculation gives -0.375 Ry/atom.

Lattice parameters (Å, degrees): 7.1699 4.5493 7.8212 90.00 90.00 90.00
With the nearest neighbours (Å) after each atom.
Atoms (fractional coordinates):
Ho 0.0125 0.2500 0.2004  5 Ni 2.97-3.26, 6 Pb 3.16-3.27
Ho 0.4875 0.7500 0.7004  5 Ni 2.97-3.26, 6 Pb 3.16-3.27
Ho 0.5125 0.2500 0.2996  5 Ni 2.97-3.26, 6 Pb 3.16-3.27
Ho 0.9875 0.7500 0.7996  5 Ni 2.97-3.26, 6 Pb 3.16-3.27
Ni 0.2136 0.7500 0.4160  4 Pb 2.64-2.88
Ni 0.2864 0.2500 0.9160  4 Pb 2.64-2.88
Ni 0.7136 0.7500 0.0840  4 Pb 2.64-2.88
Ni 0.7864 0.2500 0.5840  4 Pb 2.64-2.88
Pb 0.1879 0.2500 0.5867  4 Ni 2.64-2.88
Pb 0.3121 0.7500 0.0867  4 Ni 2.64-2.88
Pb 0.6879 0.2500 0.9133  4 Ni 2.64-2.88
Pb 0.8121 0.7500 0.4133  4 Ni 2.64-2.88

---

# 11
Entry from the Alexandria database: an optimized crystal structure of Ho2Ni2Pb (PBE-GGA).

## Properties
The value obtained for the density of states at the Fermi level is 6.292 states/eV per cell. As for the space group: No. 166. For the total DFT energy (no corrections), the calculation gives -0.384 Ry/atom.

Lattice parameters (Å, degrees): 4.7763 4.7763 15.1648 90.00 90.00 120.00
With the nearest neighbours (Å) after each atom.
Atoms (fractional coordinates):
Ho 0.0000 0.0000 0.2263  4 Ni 2.78-2.93
Ho 0.0000 0.0000 0.7737  4 Ni 2.78-2.93
Ho 0.3333 0.6667 0.4404  4 Ni 2.78-2.93
Ho 0.3333 0.6667 0.8930  4 Ni 2.78-2.93
Ho 0.6667 0.3333 0.1070  4 Ni 2.78-2.93
Ho 0.6667 0.3333 0.5596  4 Ni 2.78-2.93
Ni 0.0000 0.0000 0.4192  1 Ni 2.45
Ni 0.0000 0.0000 0.5808  1 Ni 2.45
Ni 0.3333 0.6667 0.0859  1 Ni 2.45
Ni 0.3333 0.6667 0.2475  1 Ni 2.45
Ni 0.6667 0.3333 0.7525  1 Ni 2.45
Ni 0.6667 0.3333 0.9141  1 Ni 2.45
Pb 0.0000 0.0000 0.0000  6 Ni 3.05, 6 Ho 3.20
Pb 0.3333 0.6667 0.6667  6 Ni 3.05, 6 Ho 3.20
Pb 0.6667 0.3333 0.3333  6 Ni 3.05, 6 Ho 3.20

---

# 12
Entry from the Alexandria database: an optimized crystal structure of HoNiPdPb (PBE-GGA).

## Properties
The value obtained for the density of states at the Fermi level is 12.411 states/eV per cell. As for the space group: No. 216. For the total DFT energy (no corrections), the calculation gives -0.387 Ry/atom.

Lattice parameters (Å, degrees): 6.7479 6.7479 6.7479 90.00 90.00 90.00
With the nearest neighbours (Å) after each atom.
Atoms (fractional coordinates):
Ho 0.0000 0.0000 0.0000  4 Ni 2.92, 4 Pd 2.92
Ho 0.0000 0.5000 0.5000  4 Ni 2.92, 4 Pd 2.92
Ho 0.5000 0.0000 0.5000  4 Ni 2.92, 4 Pd 2.92
Ho 0.5000 0.5000 0.0000  4 Ni 2.92, 4 Pd 2.92
Ni 0.2500 0.2500 0.2500  4 Pb 2.92, 4 Ho 2.92
Ni 0.2500 0.7500 0.7500  4 Pb 2.92, 4 Ho 2.92
Ni 0.7500 0.2500 0.7500  4 Pb 2.92, 4 Ho 2.92
Ni 0.7500 0.7500 0.2500  4 Pb 2.92, 4 Ho 2.92
Pd 0.2500 0.2500 0.7500  4 Pb 2.92, 4 Ho 2.92
Pd 0.2500 0.7500 0.2500  4 Pb 2.92, 4 Ho 2.92
Pd 0.7500 0.2500 0.2500  4 Pb 2.92, 4 Ho 2.92
Pd 0.7500 0.7500 0.7500  4 Pb 2.92, 4 Ho 2.92
Pb 0.0000 0.0000 0.5000  4 Ni 2.92, 4 Pd 2.92
Pb 0.0000 0.5000 0.0000  4 Ni 2.92, 4 Pd 2.92
Pb 0.5000 0.0000 0.0000  4 Ni 2.92, 4 Pd 2.92
Pb 0.5000 0.5000 0.5000  4 Ni 2.92, 4 Pd 2.92